No. 1
DFT (PBE-GGA) results for crystalline La5GePd2 at its relaxed geometry.

extended XYZ file:
```
16
Lattice="-4.087 4.087 6.770 4.087 -4.087 6.770 4.087 4.087 -6.770" Properties=species:S:1:pos:R:3 pbc="T T T"
La 0.000 0.000 0.000
La 5.420 1.334 -1.976
La 1.334 2.753 -1.976
La 5.420 1.334 1.976
La 1.334 2.753 1.976
La 0.000 0.000 6.770
La 2.753 1.334 4.795
La -1.334 2.753 4.795
La 2.753 1.334 8.746
La -1.334 2.753 8.746
Ge 0.000 0.000 3.385
Ge 0.000 0.000 10.156
Pd 3.029 1.058 0.000
Pd 3.029 -1.058 6.770
Pd 1.058 5.145 0.000
Pd 1.058 3.029 6.770
```

Size of the total moment, μB per formula unit: 0.00
Total energy, eV for the cell shown: -89.4

=====

No. 2
DFT (PBE-GGA) results for crystalline BaTlRh at its relaxed geometry.

extended XYZ file:
```
3
Lattice="4.712 0.000 0.000 -2.356 4.080 0.000 0.000 0.000 4.756" Properties=species:S:1:pos:R:3 pbc="T T T"
Ba 0.000 0.000 0.000
Tl 0.000 2.720 2.378
Rh 2.356 1.360 2.383
```

Size of the total moment, μB per formula unit: 0.00
Total energy, eV for the cell shown: -12.3